[1]
## Er2PuRu (PBE)

Data for a relaxed Er2PuRu crystal.

Cell lengths 7.116, 9.290, 6.211 Å; angles 90.00, 90.00, 90.00 degrees
Fractional positions:
Er (0.175, 0.064, 0.171)
Er (0.175, 0.436, 0.171)
Er (0.325, 0.564, 0.671)
Er (0.325, 0.936, 0.671)
Er (0.675, 0.064, 0.329)
Er (0.675, 0.436, 0.329)
Er (0.825, 0.564, 0.829)
Er (0.825, 0.936, 0.829)
Pu (0.045, 0.250, 0.650)
Pu (0.455, 0.750, 0.150)
Pu (0.545, 0.250, 0.850)
Pu (0.955, 0.750, 0.350)
Ru (0.130, 0.750, 0.985)
Ru (0.370, 0.250, 0.485)
Ru (0.630, 0.750, 0.515)
Ru (0.870, 0.250, 0.015)

Summary:
**Raw total energy**: -33.7 eV/f.u.
**Space group**: Pnma (62)
**Density**: 10.99 Mg/m³
**Distance to the lowest polymorph of the same formula**: 0 meV/atom
**Formation enthalpy at 0 K**: -0.25 eV per atom

=====

[2]
## ErPu2Ru2 (PBE)

Data for a relaxed ErPu2Ru2 crystal.

Cell lengths 12.822, 12.822, 4.800 Å; angles 90.00, 90.00, 165.18 degrees
Fractional positions:
Er (0.143, 0.857, 0.750)
Er (0.857, 0.143, 0.250)
Pu (0.049, 0.951, 0.250)
Pu (0.238, 0.762, 0.250)
Pu (0.762, 0.238, 0.750)
Pu (0.951, 0.049, 0.750)
Ru (0.353, 0.647, 0.750)
Ru (0.453, 0.547, 0.250)
Ru (0.547, 0.453, 0.750)
Ru (0.647, 0.353, 0.250)

Summary:
**Raw total energy**: -52.5 eV/f.u.
**Space group**: Cmcm (63)
**Density**: 14.10 Mg/m³
**Distance to the lowest polymorph of the same formula**: 0 meV/atom
**Formation enthalpy at 0 K**: -0.13 eV per atom

=====

[3]
## Er3Pu2Ru4 (PBE)

Data for a relaxed Er3Pu2Ru4 crystal.

Cell lengths 5.699, 5.699, 8.876 Å; angles 99.14, 99.14, 43.20 degrees
Fractional positions:
Er (0.000, 0.000, 0.000)
Er (0.374, 0.374, 0.609)
Er (0.626, 0.626, 0.391)
Pu (0.329, 0.329, 0.215)
Pu (0.671, 0.671, 0.785)
Ru (0.089, 0.089, 0.627)
Ru (0.289, 0.289, 0.905)
Ru (0.711, 0.711, 0.095)
Ru (0.911, 0.911, 0.373)

Summary:
**Raw total energy**: -82.5 eV/f.u.
**Space group**: C2/m (12)
**Density**: 11.91 Mg/m³
**Formation enthalpy at 0 K**: -0.34 eV per atom

=====

[4]
## Er5PuRu4 (PBE)

Data for a relaxed Er5PuRu4 crystal.

Cell lengths 7.729, 7.729, 6.648 Å; angles 94.15, 94.15, 35.01 degrees
Fractional positions:
Er (0.000, 0.000, 0.000)
Er (0.331, 0.331, 0.506)
Er (0.333, 0.333, 0.003)
Er (0.667, 0.667, 0.997)
Er (0.669, 0.669, 0.494)
Pu (0.000, 0.000, 0.500)
Ru (0.155, 0.155, 0.743)
Ru (0.498, 0.498, 0.267)
Ru (0.502, 0.502, 0.733)
Ru (0.845, 0.845, 0.257)

Summary:
**Raw total energy**: -77.2 eV/f.u.
**Space group**: C2/m (12)
**Density**: 10.85 Mg/m³
**Formation enthalpy at 0 K**: -0.30 eV per atom

=====

[5]
## Er5Pu2Ru5 (PBE)

Data for a relaxed Er5Pu2Ru5 crystal.

Cell lengths 5.204, 5.204, 12.291 Å; angles 102.63, 102.63, 53.56 degrees
Fractional positions:
Er (0.000, 0.000, 0.000)
Er (0.176, 0.176, 0.555)
Er (0.259, 0.259, 0.846)
Er (0.741, 0.741, 0.154)
Er (0.824, 0.824, 0.445)
Pu (0.494, 0.494, 0.286)
Pu (0.506, 0.506, 0.714)
Ru (0.215, 0.215, 0.301)
Ru (0.367, 0.367, 0.076)
Ru (0.500, 0.500, 0.500)
Ru (0.633, 0.633, 0.924)
Ru (0.785, 0.785, 0.699)

Summary:
**Raw total energy**: -100.6 eV/f.u.
**Space group**: C2/m (12)
**Density**: 11.70 Mg/m³
**Formation enthalpy at 0 K**: -0.23 eV per atom

=====

[6]
## Er2PuRu (PBE)

Data for a relaxed Er2PuRu crystal.

Cell lengths 6.205, 6.205, 9.195 Å; angles 90.00, 90.00, 144.92 degrees
Fractional positions:
Er (0.142, 0.858, 0.567)
Er (0.142, 0.858, 0.933)
Er (0.858, 0.142, 0.067)
Er (0.858, 0.142, 0.433)
Pu (0.424, 0.576, 0.750)
Pu (0.576, 0.424, 0.250)
Ru (0.233, 0.767, 0.250)
Ru (0.767, 0.233, 0.750)

Summary:
**Raw total energy**: -33.7 eV/f.u.
**Space group**: Cmcm (63)
**Density**: 11.09 Mg/m³
**Distance to the lowest polymorph of the same formula**: 14 meV/atom
**Formation enthalpy at 0 K**: -0.24 eV per atom

=====

| no. | size of the total moment (μB per cell) |
| --- | --- |
| 1 | 23.008 |
| 2 | 0.003 |
| 3 | 7.640 |
| 4 | 3.893 |
| 5 | 9.627 |
| 6 | 12.070 |